[1]
Here is a relaxed AcDy4Er2 crystal from the Alexandria database. Energies are from PBE.

Total magnetic moment: 0.00 μB/f.u.
Total energy: -4.468 eV per atom
Density of states at the Fermi level: 10.66 states/eV/f.u.
Volume: 462.1 Å³/cell
Crystal system: triclinic
Formation enthalpy at 0 K: 0.052 eV per atom

a = 7.127 Å, b = 8.596 Å, c = 8.901 Å
α = 114.28°, β = 101.34°, γ = 101.72°
Space group P1 (No. 1)
Asymmetric unit:
Ac  0.000  0.000  0.000 [1 per cell]
Ac  0.412  0.448  0.159 [1 per cell]
Dy  0.099  0.551  0.832 [1 per cell]
Dy  0.189  0.292  0.440 [1 per cell]
Dy  0.303  0.890  0.299 [1 per cell]
Dy  0.502  0.992  0.000 [1 per cell]
Dy  0.602  0.553  0.830 [1 per cell]
Dy  0.707  0.116  0.705 [1 per cell]
Dy  0.805  0.887  0.301 [1 per cell]
Dy  0.829  0.709  0.569 [1 per cell]
Er  0.210  0.112  0.703 [1 per cell]
Er  0.328  0.714  0.572 [1 per cell]
Er  0.689  0.288  0.431 [1 per cell]
Er  0.913  0.453  0.169 [1 per cell]

***

[2]
Here is a relaxed KSr2Tl crystal from the Alexandria database. Energies are from PBE.

Total magnetic moment: 0.10 μB/f.u.
Total energy: -1.781 eV per atom
Density of states at the Fermi level: 2.96 states/eV/f.u.
Volume: 369.7 Å³/cell
Crystal system: orthorhombic
Formation enthalpy at 0 K: -0.074 eV per atom

a = 4.209 Å, b = 6.233 Å, c = 14.090 Å
α = 90.00°, β = 90.00°, γ = 90.00°
Space group Imm2 (No. 44)
Asymmetric unit:
K  0.000  0.000  0.000 [2 per cell]
Sr  0.000  0.000  0.605 [2 per cell]
Sr  0.000  0.500  0.805 [2 per cell]
Tl  0.000  0.500  0.292 [2 per cell]

***

[3]
Here is a relaxed Li2HfZn crystal from the Alexandria database. Energies are from PBE.

Total magnetic moment: 0.00 μB/f.u.
Total energy: -3.358 eV per atom
Density of states at the Fermi level: 3.31 states/eV/f.u.
Volume: 287.2 Å³/cell
Crystal system: tetragonal
Formation enthalpy at 0 K: 0.406 eV per atom

a = 7.244 Å, b = 7.244 Å, c = 5.472 Å
α = 90.00°, β = 90.00°, γ = 90.00°
Space group I-42d (No. 122)
Asymmetric unit:
Li  0.209  0.250  0.125 [8 per cell]
Hf  0.000  0.000  0.500 [4 per cell]
Zn  0.000  0.000  0.000 [4 per cell]

***

[4]
Here is a relaxed TbEu2Gd crystal from the Alexandria database. Energies are from PBE.

Total magnetic moment: 21.98 μB/f.u.
Total energy: -9.655 eV per atom
Density of states at the Fermi level: 8.67 states/eV/f.u.
Volume: 143.8 Å³/cell
Crystal system: tetragonal
Formation enthalpy at 0 K: 0.160 eV per atom
ΔE to the lowest computed polymorph: 8 meV/atom

a = 5.916 Å, b = 5.916 Å, c = 4.109 Å
α = 90.00°, β = 90.00°, γ = 90.00°
Space group P4/mmm (No. 123)
Asymmetric unit:
Tb  0.000  0.000  0.000 [1 per cell]
Eu  0.000  0.500  0.500 [2 per cell]
Gd  0.500  0.500  0.000 [1 per cell]

***

formation enthalpy at 0 K of number 3 (Li2HfZn)?
0.406 eV per atom

***

The highest volume belongs to which entry?
AcDy4Er2